[1]
The following is a PBE calculation of crystalline CaAcIn2Ag2 at its relaxed geometry, from Alexandria.

Geometry as POSCAR:
```
CaAcIn2Ag2
1.0
4.9486 0.0000 0.0000
-2.4743 4.2856 0.0000
0.0000 0.0000 7.6731
Ca Ag Ac In
1 2 1 2
Cartesian
0.0000 0.0000 3.8366
0.0000 2.8571 5.5275
2.4743 1.4285 2.1457
0.0000 0.0000 0.0000
2.4743 1.4285 5.5690
0.0000 2.8571 2.1041
```

## Properties
- M_tot (μB per formula unit) = 0.00
- formation energy from the elements (meV per atom) = -373
- calculated total energy (eV per cell) = -19.53
- calculated volume (Å³ per atom) = 27.12

***

[2]
The following is a PBE calculation of crystalline NiPd14Rh at its relaxed geometry, from Alexandria.

Geometry as POSCAR:
```
NiPd14Rh
1.0
-3.3885 -3.1691 3.0350
5.0723 1.2128 1.8808
-3.3015 7.4541 4.0974
Pd Rh Ni
14 1 1
Cartesian
-2.2365 3.5299 6.8818
-4.8074 2.9420 5.9530
1.3567 3.1641 5.4961
-0.6290 -0.0995 4.8868
0.7782 -0.3027 1.1778
-1.4750 0.8834 2.4170
-3.0825 4.5128 4.4120
0.5158 4.1412 3.0409
1.6217 -1.2828 3.6403
-0.9114 -1.8862 2.6971
1.0647 1.4397 3.3438
-3.1761 -0.7411 3.9285
-0.5777 5.1480 5.3822
3.3204 0.3055 2.1198
-1.1624 2.5658 4.5548
3.0615 4.7533 3.9786
```

## Properties
- M_tot (μB per formula unit) = 5.83
- formation energy from the elements (meV per atom) = 41
- calculated total energy (eV per cell) = -85.18
- calculated volume (Å³ per atom) = 15.19